1.
# Ag2PW

An optimized crystal structure of Ag2PW (PBE-GGA, the Alexandria database).

The space group is Cm (No. 8) and the conventional cell measures 29.092, 3.085 and 3.083 Å, with angles of 90.00, 95.81 and 90.00 degrees. Symmetry generates all atoms from Ag at (0.000, 0.000, 0.000), Ag at (0.066, 0.500, 0.564), Ag at (0.132, 0.000, 0.128), Ag at (0.433, 0.000, 0.434), P at (0.218, 0.000, 0.215), P at (0.365, 0.500, 0.854), W at (0.260, 0.500, 0.755) and W at (0.326, 0.000, 0.317).

The calculation puts the calculated formation energy at 0.02 eV/atom. The crystal system is monoclinic.

=====

2.
# Li3Ca2RuO6

An optimized crystal structure of Li3Ca2RuO6 (PBE-GGA, the Alexandria database).

The space group is C2/m (No. 12) and the conventional cell measures 5.535, 10.022 and 5.240 Å, with angles of 90.00, 107.87 and 90.00 degrees. Symmetry generates all atoms from Li at (0.000, 0.000, 0.000), Li at (0.000, 0.375, 0.000), Ca at (0.000, 0.170, 0.500), Ru at (0.000, 0.500, 0.500), O at (0.212, 0.358, 0.737) and O at (0.231, 0.500, 0.268).

For the uncorrected formation energy, the calculation gives -2.020 eV/atom. The crystal system is monoclinic.

=====

3.
# Ca4AcSn2

An optimized crystal structure of Ca4AcSn2 (PBE-GGA, the Alexandria database).

The space group is I4/mmm (No. 139) and the conventional cell measures 4.698, 4.698 and 27.247 Å, with angles of 90.00, 90.00 and 90.00 degrees. Symmetry generates all atoms from Ca at (0.000, 0.000, 0.141), Ca at (0.000, 0.500, 0.250), Ac at (0.000, 0.000, 0.000) and Sn at (0.000, 0.000, 0.332).

The calculation puts the calculated formation energy at -0.02 eV/atom. The crystal system is tetragonal.

=====

4.
# ThPaCo2P2

An optimized crystal structure of ThPaCo2P2 (PBE-GGA, the Alexandria database).

The space group is P-3m1 (No. 164) and the conventional cell measures 3.9253, 3.9253 and 7.7941 Å, with angles of 90.00, 90.00 and 120.00 degrees. Symmetry generates all atoms from Th at (0.0000, 0.0000, 0.0000), Pa at (0.0000, 0.0000, 0.5000), Co at (0.3333, 0.6667, 0.7170) and P at (0.3333, 0.6667, 0.2472).

The calculation puts the calculated formation energy at -1.14 eV/atom. The crystal system is trigonal.

=====

5.
# Li6Ag2Pd3

An optimized crystal structure of Li6Ag2Pd3 (PBE-GGA, the Alexandria database).

The space group is R-3m (No. 166, hexagonal axes) and the conventional cell measures 2.8674, 2.8674 and 70.9225 Å, with angles of 90.00, 90.00 and 120.00 degrees. Symmetry generates all atoms from Li at (0.0000, 0.0000, 0.0864), Li at (0.0000, 0.0000, 0.1839), Li at (0.0000, 0.0000, 0.3623), Ag at (0.0000, 0.0000, 0.4516), Pd at (0.0000, 0.0000, 0.0000) and Pd at (0.0000, 0.0000, 0.2753).

The calculation puts the calculated formation energy at -0.27 eV/atom. The value obtained for the excess energy over the best structure of this formula in the dataset is 0 meV/atom. The crystal system is trigonal.